1.
VASP calculation (PBE) on an optimized crystal structure of LaTiTlRe2.

Values from the calculation:
Energy above the most stable polymorph in this dataset = 0 meV/atom
Total magnetization = 0.0 μB/f.u.
Formation enthalpy at 0 K = 1272 meV per atom
Raw total energy = -33.727 eV for the cell shown

a = 4.675 Å, b = 4.675 Å, c = 5.474 Å
α = 90.00°, β = 90.00°, γ = 90.00°
Space group P4/mmm (No. 123)
Inequivalent atoms, fractional coordinates:
La: 0.000 0.000 0.000 x1
Ti: 0.000 0.000 0.500 x1
Tl: 0.500 0.500 0.000 x1
Re: 0.000 0.500 0.500 x2

2.
VASP calculation (PBE) on an optimized crystal structure of La2TiReW.

Values from the calculation:
Total magnetization = 0.0 μB/f.u.
Formation enthalpy at 0 K = 1473 meV per atom
Raw total energy = -35.786 eV for the cell shown

a = 5.441 Å, b = 5.441 Å, c = 4.686 Å
α = 90.00°, β = 90.00°, γ = 90.00°
Space group P4/mmm (No. 123)
Inequivalent atoms, fractional coordinates:
La: 0.000 0.500 0.000 x2
Ti: 0.000 0.000 0.500 x1
Re: 0.500 0.500 0.500 x1
W: 0.000 0.000 0.000 x1

3.
VASP calculation (PBE) on an optimized crystal structure of LaTl2Re.

Values from the calculation:
Energy above the most stable polymorph in this dataset = 0 meV/atom
Total magnetization = 0.0 μB/f.u.
Formation enthalpy at 0 K = 410 meV per atom
Raw total energy = -40.937 eV for the cell shown

a = 10.250 Å, b = 3.796 Å, c = 5.369 Å
α = 90.00°, β = 108.26°, γ = 90.00°
Space group C2/m (No. 12)
Inequivalent atoms, fractional coordinates:
La: 0.000 0.000 0.000 x2
Tl: 0.225 0.000 0.699 x4
Re: 0.000 0.500 0.500 x2

4.
VASP calculation (PBE) on an optimized crystal structure of La2TlRe.

Values from the calculation:
Energy above the most stable polymorph in this dataset = 0 meV/atom
Total magnetization = 0.0 μB/f.u.
Formation enthalpy at 0 K = 45 meV per atom
Raw total energy = -24.488 eV for the cell shown

a = 3.498 Å, b = 3.490 Å, c = 9.100 Å
α = 90.00°, β = 90.14°, γ = 90.00°
Space group P2/m (No. 10)
Inequivalent atoms, fractional coordinates:
La: 0.001 0.000 0.303 x2
Tl: 0.500 0.500 0.000 x1
Re: 0.500 0.500 0.500 x1

5.
VASP calculation (PBE) on an optimized crystal structure of LaTl2Re.

Values from the calculation:
Energy above the most stable polymorph in this dataset = 46 meV/atom
Total magnetization = 0.4 μB/f.u.
Formation enthalpy at 0 K = 456 meV per atom
Raw total energy = -40.565 eV for the cell shown

a = 4.688 Å, b = 4.688 Å, c = 8.683 Å
α = 90.00°, β = 90.00°, γ = 90.00°
Space group I4/mmm (No. 139)
Inequivalent atoms, fractional coordinates:
La: 0.000 0.000 0.000 x2
Tl: 0.000 0.500 0.250 x4
Re: 0.000 0.000 0.500 x2

6.
VASP calculation (PBE) on an optimized crystal structure of LaTl3Re.

Values from the calculation:
Energy above the most stable polymorph in this dataset = 0 meV/atom
Total magnetization = 0.0 μB/f.u.
Formation enthalpy at 0 K = 409 meV per atom
Raw total energy = -22.427 eV for the cell shown

a = 5.283 Å, b = 5.283 Å, c = 5.283 Å
α = 90.00°, β = 90.00°, γ = 90.00°
Space group Pm-3m (No. 221)
Inequivalent atoms, fractional coordinates:
La: 0.000 0.000 0.000 x1
Tl: 0.000 0.500 0.500 x3
Re: 0.500 0.500 0.500 x1